[1]
# AcNdSmGa (PBE, optimized geometry)
data_AcNdSmGa
_symmetry_space_group_name_H-M 'P 1'
_symmetry_Int_Tables_number 1
_cell_length_a 5.582
_cell_length_b 5.582
_cell_length_c 5.582
_cell_angle_alpha 60.00
_cell_angle_beta 60.00
_cell_angle_gamma 60.00
loop_
_symmetry_equiv_pos_as_xyz
'x,y,z'
loop_
_atom_site_label
_atom_site_type_symbol
_atom_site_fract_x
_atom_site_fract_y
_atom_site_fract_z
Sm1 Sm 0.500 0.500 0.500
Nd1 Nd 0.000 0.000 0.000
Ac1 Ac 0.750 0.750 0.750
Ga1 Ga 0.250 0.250 0.250
# Fermi-level density of states = 7.32 states/eV/f.u.
# size of the total moment = 0.0 μB per formula unit
# space-group type = No. 216
# E_tot = -4.1459 eV/atom



[2]
# AcNdGaSn (PBE, optimized geometry)
data_AcNdGaSn
_symmetry_space_group_name_H-M 'P 1'
_symmetry_Int_Tables_number 1
_cell_length_a 5.542
_cell_length_b 5.542
_cell_length_c 5.542
_cell_angle_alpha 60.00
_cell_angle_beta 60.00
_cell_angle_gamma 60.00
loop_
_symmetry_equiv_pos_as_xyz
'x,y,z'
loop_
_atom_site_label
_atom_site_type_symbol
_atom_site_fract_x
_atom_site_fract_y
_atom_site_fract_z
Nd1 Nd 0.500 0.500 0.500
Sn1 Sn 0.250 0.250 0.250
Ga1 Ga 0.750 0.750 0.750
Ac1 Ac 0.000 0.000 0.000
# Fermi-level density of states = 2.22 states/eV/f.u.
# size of the total moment = 0.0 μB per formula unit
# space-group type = No. 216
# E_tot = -4.4944 eV/atom



[3]
# AcNdGaSn (PBE, optimized geometry)
data_AcNdGaSn
_symmetry_space_group_name_H-M 'P 1'
_symmetry_Int_Tables_number 1
_cell_length_a 4.740
_cell_length_b 4.344
_cell_length_c 6.465
_cell_angle_alpha 90.00
_cell_angle_beta 111.50
_cell_angle_gamma 90.00
loop_
_symmetry_equiv_pos_as_xyz
'x,y,z'
loop_
_atom_site_label
_atom_site_type_symbol
_atom_site_fract_x
_atom_site_fract_y
_atom_site_fract_z
Ac1 Ac 0.141 0.000 0.282
Sn1 Sn 0.423 0.000 0.847
Ga1 Ga 0.575 0.500 0.151
Nd1 Nd 0.860 0.500 0.721
# Fermi-level density of states = 3.41 states/eV/f.u.
# size of the total moment = 0.2 μB per formula unit
# space-group type = No. 38
# E_tot = -4.6335 eV/atom



[4]
# AcNd2Ga2Sn2 (PBE, optimized geometry)
data_AcNd2Ga2Sn2
_symmetry_space_group_name_H-M 'P 1'
_symmetry_Int_Tables_number 1
_cell_length_a 4.725
_cell_length_b 4.725
_cell_length_c 10.972
_cell_angle_alpha 77.57
_cell_angle_beta 77.57
_cell_angle_gamma 60.00
loop_
_symmetry_equiv_pos_as_xyz
'x,y,z'
loop_
_atom_site_label
_atom_site_type_symbol
_atom_site_fract_x
_atom_site_fract_y
_atom_site_fract_z
Sn1 Sn 0.732 0.732 0.804
Sn2 Sn 0.268 0.268 0.196
Ac1 Ac 0.000 0.000 0.000
Ga1 Ga 0.578 0.578 0.267
Ga2 Ga 0.422 0.422 0.733
Nd1 Nd 0.870 0.870 0.389
Nd2 Nd 0.130 0.130 0.611
# Fermi-level density of states = 4.41 states/eV/f.u.
# size of the total moment = 0.0 μB per formula unit
# space-group type = No. 166
# E_tot = -4.3804 eV/atom



[5]
# AcNdThGa (PBE, optimized geometry)
data_AcNdThGa
_symmetry_space_group_name_H-M 'P 1'
_symmetry_Int_Tables_number 1
_cell_length_a 5.590
_cell_length_b 5.590
_cell_length_c 5.590
_cell_angle_alpha 60.00
_cell_angle_beta 60.00
_cell_angle_gamma 60.00
loop_
_symmetry_equiv_pos_as_xyz
'x,y,z'
loop_
_atom_site_label
_atom_site_type_symbol
_atom_site_fract_x
_atom_site_fract_y
_atom_site_fract_z
Ga1 Ga 0.000 0.000 0.000
Nd1 Nd 0.250 0.250 0.250
Th1 Th 0.750 0.750 0.750
Ac1 Ac 0.500 0.500 0.500
# Fermi-level density of states = 5.62 states/eV/f.u.
# size of the total moment = 0.0 μB per formula unit
# space-group type = No. 216
# E_tot = -4.7524 eV/atom



[6]
# Ac3Nd3Tl2Ga (PBE, optimized geometry)
data_Ac3Nd3Tl2Ga
_symmetry_space_group_name_H-M 'P 1'
_symmetry_Int_Tables_number 1
_cell_length_a 4.010
_cell_length_b 9.383
_cell_length_c 9.383
_cell_angle_alpha 120.00
_cell_angle_beta 90.00
_cell_angle_gamma 90.00
loop_
_symmetry_equiv_pos_as_xyz
'x,y,z'
loop_
_atom_site_label
_atom_site_type_symbol
_atom_site_fract_x
_atom_site_fract_y
_atom_site_fract_z
Tl1 Tl 0.500 0.667 0.333
Tl2 Tl 0.500 0.333 0.667
Ac1 Ac 0.500 0.734 0.000
Ac2 Ac 0.500 0.000 0.734
Ac3 Ac 0.500 0.266 0.266
Nd1 Nd 0.000 0.396 0.000
Nd2 Nd 0.000 0.604 0.604
Nd3 Nd 0.000 0.000 0.396
Ga1 Ga 0.000 0.000 0.000
# Fermi-level density of states = 10.58 states/eV/f.u.
# size of the total moment = 0.0 μB per formula unit
# space-group type = No. 189
# E_tot = -4.0723 eV/atom



[7]
# AcNdTlGa (PBE, optimized geometry)
data_AcNdTlGa
_symmetry_space_group_name_H-M 'P 1'
_symmetry_Int_Tables_number 1
_cell_length_a 5.567
_cell_length_b 5.567
_cell_length_c 5.567
_cell_angle_alpha 60.00
_cell_angle_beta 60.00
_cell_angle_gamma 60.00
loop_
_symmetry_equiv_pos_as_xyz
'x,y,z'
loop_
_atom_site_label
_atom_site_type_symbol
_atom_site_fract_x
_atom_site_fract_y
_atom_site_fract_z
Ac1 Ac 0.000 0.000 0.000
Ga1 Ga 0.250 0.250 0.250
Nd1 Nd 0.500 0.500 0.500
Tl1 Tl 0.750 0.750 0.750
# Fermi-level density of states = 2.95 states/eV/f.u.
# size of the total moment = 0.0 μB per formula unit
# space-group type = No. 216
# E_tot = -3.9517 eV/atom



[8]
# AcNdZnGa (PBE, optimized geometry)
data_AcNdZnGa
_symmetry_space_group_name_H-M 'P 1'
_symmetry_Int_Tables_number 1
_cell_length_a 5.389
_cell_length_b 5.389
_cell_length_c 5.389
_cell_angle_alpha 60.00
_cell_angle_beta 60.00
_cell_angle_gamma 60.00
loop_
_symmetry_equiv_pos_as_xyz
'x,y,z'
loop_
_atom_site_label
_atom_site_type_symbol
_atom_site_fract_x
_atom_site_fract_y
_atom_site_fract_z
Zn1 Zn 0.750 0.750 0.750
Ga1 Ga 0.250 0.250 0.250
Ac1 Ac 0.500 0.500 0.500
Nd1 Nd 0.000 0.000 0.000
# Fermi-level density of states = 4.36 states/eV/f.u.
# size of the total moment = 0.0 μB per formula unit
# space-group type = No. 216
# E_tot = -3.6665 eV/atom



[9]
# AcNdZn2Ga2 (PBE, optimized geometry)
data_AcNdZn2Ga2
_symmetry_space_group_name_H-M 'P 1'
_symmetry_Int_Tables_number 1
_cell_length_a 4.545
_cell_length_b 4.545
_cell_length_c 8.029
_cell_angle_alpha 90.00
_cell_angle_beta 90.00
_cell_angle_gamma 120.00
loop_
_symmetry_equiv_pos_as_xyz
'x,y,z'
loop_
_atom_site_label
_atom_site_type_symbol
_atom_site_fract_x
_atom_site_fract_y
_atom_site_fract_z
Ga1 Ga 0.667 0.333 0.278
Ga2 Ga 0.333 0.667 0.722
Zn1 Zn 0.667 0.333 0.713
Zn2 Zn 0.333 0.667 0.287
Ac1 Ac 0.000 0.000 0.000
Nd1 Nd 0.000 0.000 0.500
# Fermi-level density of states = 3.80 states/eV/f.u.
# size of the total moment = 0.0 μB per formula unit
# space-group type = No. 164
# E_tot = -3.4312 eV/atom



[10]
# AcNd2Zn2Ga2 (PBE, optimized geometry)
data_AcNd2Zn2Ga2
_symmetry_space_group_name_H-M 'P 1'
_symmetry_Int_Tables_number 1
_cell_length_a 4.553
_cell_length_b 4.553
_cell_length_c 10.356
_cell_angle_alpha 77.30
_cell_angle_beta 77.30
_cell_angle_gamma 60.00
loop_
_symmetry_equiv_pos_as_xyz
'x,y,z'
loop_
_atom_site_label
_atom_site_type_symbol
_atom_site_fract_x
_atom_site_fract_y
_atom_site_fract_z
Ga1 Ga 0.257 0.257 0.230
Ga2 Ga 0.743 0.743 0.770
Nd1 Nd 0.130 0.130 0.610
Nd2 Nd 0.870 0.870 0.390
Zn1 Zn 0.591 0.591 0.226
Zn2 Zn 0.409 0.409 0.774
Ac1 Ac 0.000 0.000 0.000
# Fermi-level density of states = 4.58 states/eV/f.u.
# size of the total moment = 0.0 μB per formula unit
# space-group type = No. 166
# E_tot = -3.5632 eV/atom



[11]
# Ac2Ga5Ni3 (PBE, optimized geometry)
data_Ac2Ga5Ni3
_symmetry_space_group_name_H-M 'P 1'
_symmetry_Int_Tables_number 1
_cell_length_a 6.172
_cell_length_b 8.575
_cell_length_c 8.575
_cell_angle_alpha 92.69
_cell_angle_beta 69.18
_cell_angle_gamma 69.18
loop_
_symmetry_equiv_pos_as_xyz
'x,y,z'
loop_
_atom_site_label
_atom_site_type_symbol
_atom_site_fract_x
_atom_site_fract_y
_atom_site_fract_z
Ga1 Ga 0.250 0.732 0.268
Ga2 Ga 0.750 0.500 0.500
Ga3 Ga 0.373 0.004 0.247
Ga4 Ga 0.750 0.268 0.732
Ga5 Ga 0.627 0.996 0.753
Ga6 Ga 0.250 0.500 0.500
Ga7 Ga 0.127 0.753 0.996
Ga8 Ga 0.873 0.247 0.004
Ga9 Ga 0.750 0.734 0.266
Ga10 Ga 0.250 0.266 0.734
Ac1 Ac 0.741 0.634 0.884
Ac2 Ac 0.759 0.116 0.366
Ac3 Ac 0.259 0.366 0.116
Ac4 Ac 0.241 0.884 0.634
Ni1 Ni 0.750 0.998 0.002
Ni2 Ni 0.130 0.249 0.490
Ni3 Ni 0.250 0.002 0.998
Ni4 Ni 0.630 0.490 0.249
Ni5 Ni 0.370 0.510 0.751
Ni6 Ni 0.870 0.751 0.510
# Fermi-level density of states = 6.85 states/eV/f.u.
# size of the total moment = 0.0 μB per formula unit
# space-group type = No. 15
# E_tot = -4.5994 eV/atom



[12]
# AcGaNi (PBE, optimized geometry)
data_AcGaNi
_symmetry_space_group_name_H-M 'P 1'
_symmetry_Int_Tables_number 1
_cell_length_a 6.360
_cell_length_b 6.527
_cell_length_c 6.941
_cell_angle_alpha 90.00
_cell_angle_beta 107.21
_cell_angle_gamma 90.00
loop_
_symmetry_equiv_pos_as_xyz
'x,y,z'
loop_
_atom_site_label
_atom_site_type_symbol
_atom_site_fract_x
_atom_site_fract_y
_atom_site_fract_z
Ni1 Ni 0.457 0.591 0.826
Ni2 Ni 0.543 0.409 0.174
Ni3 Ni 0.957 0.909 0.326
Ni4 Ni 0.043 0.091 0.674
Ac1 Ac 0.791 0.650 0.588
Ac2 Ac 0.709 0.150 0.912
Ac3 Ac 0.209 0.350 0.412
Ac4 Ac 0.291 0.850 0.088
Ga1 Ga 0.804 0.643 0.087
Ga2 Ga 0.304 0.857 0.587
Ga3 Ga 0.696 0.143 0.413
Ga4 Ga 0.196 0.357 0.913
# Fermi-level density of states = 1.81 states/eV/f.u.
# size of the total moment = 0.0 μB per formula unit
# space-group type = No. 14
# E_tot = -4.8346 eV/atom



[13]
# AcGa2Ni (PBE, optimized geometry)
data_AcGa2Ni
_symmetry_space_group_name_H-M 'P 1'
_symmetry_Int_Tables_number 1
_cell_length_a 3.356
_cell_length_b 3.356
_cell_length_c 7.194
_cell_angle_alpha 90.00
_cell_angle_beta 90.00
_cell_angle_gamma 90.00
loop_
_symmetry_equiv_pos_as_xyz
'x,y,z'
loop_
_atom_site_label
_atom_site_type_symbol
_atom_site_fract_x
_atom_site_fract_y
_atom_site_fract_z
Ga1 Ga 0.000 0.000 0.178
Ga2 Ga 0.000 0.000 0.822
Ni1 Ni 0.500 0.500 0.000
Ac1 Ac 0.500 0.500 0.500
# Fermi-level density of states = 2.06 states/eV/f.u.
# size of the total moment = 0.0 μB per formula unit
# space-group type = No. 123
# E_tot = -4.2023 eV/atom



[14]
# AcGa2Ni (PBE, optimized geometry)
data_AcGa2Ni
_symmetry_space_group_name_H-M 'P 1'
_symmetry_Int_Tables_number 1
_cell_length_a 4.194
_cell_length_b 4.194
_cell_length_c 6.181
_cell_angle_alpha 70.17
_cell_angle_beta 70.17
_cell_angle_gamma 60.00
loop_
_symmetry_equiv_pos_as_xyz
'x,y,z'
loop_
_atom_site_label
_atom_site_type_symbol
_atom_site_fract_x
_atom_site_fract_y
_atom_site_fract_z
Ga1 Ga 0.296 0.296 0.113
Ga2 Ga 0.704 0.704 0.887
Ac1 Ac 0.500 0.500 0.500
Ni1 Ni 0.000 0.000 0.000
# Fermi-level density of states = 2.98 states/eV/f.u.
# size of the total moment = 0.0 μB per formula unit
# space-group type = No. 166
# E_tot = -4.5032 eV/atom